# Na2Se2S

Crystalline Na2Se2S at its relaxed geometry (PBE, Alexandria via LeMat-Bulk).

a b c (Å): 7.033 7.033 10.106
angles (deg): 119.73 119.73 35.95
Element x y z (fractional)
Na: 0.020 0.741 0.999
Na: 0.259 0.980 0.501
Na: 0.741 0.020 0.499
Na: 0.980 0.259 0.001
Se: 0.255 0.478 0.267
Se: 0.478 0.255 0.767
Se: 0.522 0.745 0.233
Se: 0.745 0.522 0.733
S: 0.311 0.689 0.750
S: 0.689 0.311 0.250

Computed properties:
The total magnetic moment is 0.00 μB per formula unit. As for the space group: C2/c (15). The raw formation energy comes out at -3.21 eV/f.u.